Here is YNi2Ir after structural relaxation from Alexandria. Energies are from GGA-PBE.

Results
D(E_F) in states/eV per atom: 1.5729
Energy relative to the elements in kJ per mole of atoms: -13.56
ΔE to the lowest computed polymorph in meV per atom: 253
Spin magnetization in Bohr magnetons per cell: 0.95

Unit cell a=4.8805 b=4.8805 c=4.8805 alpha=132.26 beta=132.26 gamma=69.82
Positions (direct):
Y (0.0000, 0.0000, 0.0000)
Ni (0.5000, 0.5000, 0.0000)
Ni (0.7500, 0.2500, 0.5000)
Ir (0.2500, 0.7500, 0.5000)